# VSbIrF2, relaxed, DFT PBE+U
data_VSbIrF2
_chemical_formula_sum 'V1 Sb1 Ir1 F2'
_symmetry_space_group_name_H-M 'P 4/m m m'
_symmetry_Int_Tables_number 123
_symmetry_space_group_name_Hall '-P 4 2'
_cell_length_a 4.1768
_cell_length_b 4.1768
_cell_length_c 5.2948
_cell_angle_alpha 90.00
_cell_angle_beta 90.00
_cell_angle_gamma 90.00
loop_
_atom_site_label
_atom_site_fract_x
_atom_site_fract_y
_atom_site_fract_z
V1 0.0000 0.0000 0.0000
Sb1 0.5000 0.5000 0.5000
Ir1 0.5000 0.5000 0.0000
F1 0.0000 0.5000 0.5000
# Raw total energy in eV per atom: -5.265